The following is a GGA-PBEsol calculation of a relaxed structure of CrCu2Br, from Alexandria.

Cell lengths 3.0566, 4.1627, 5.4054 Å; angles 112.65, 106.42, 90.00 degrees
Fractional coordinates of all 4 atoms:
Br (0.5000, 0.0000, 0.0000)
Cu (0.7437, 0.7437, 0.4875)
Cu (0.2563, 0.2563, 0.5125)
Cr (0.0000, 0.5000, 0.0000)

## Properties
Energy relative to the lowest polymorph listed for this composition ... 0.194 eV per atom
DOS at the Fermi energy ... 2.24 states/eV/f.u.
Energy relative to the elements, uncorrected ... 2.3 eV per formula unit
VASP energy ... -18.45 eV/cell
SG ... Immm (71)